(1)
{"formula": "Ce2PmPt2", "functional": "PBE", "state": "relaxed", "lattice": [[8.0310, 0.0000, 0.0000], [0.0000, 8.0310, 0.0000], [0.0000, 0.0000, 3.8756]], "species": ["Ce", "Ce", "Ce", "Ce", "Pm", "Pm", "Pt", "Pt", "Pt", "Pt"], "frac_coords": [[0.1649, 0.3351, 0.0000], [0.3351, 0.8351, 0.0000], [0.6649, 0.1649, 0.0000], [0.8351, 0.6649, 0.0000], [0.0000, 0.0000, 0.5000], [0.5000, 0.5000, 0.5000], [0.1333, 0.6333, 0.5000], [0.3667, 0.1333, 0.5000], [0.6333, 0.8667, 0.5000], [0.8667, 0.3667, 0.5000]], "polymorph_energy_mev_per_atom": 0.0, "formation_enthalpy_0k_mev_per_atom": -878, "m_tot_mub_per_fu": 1.33}

(2)
{"formula": "CuPIr", "functional": "PBE", "state": "relaxed", "lattice": [[3.9479, 0.0000, 0.0000], [-1.9739, 3.4190, 0.0000], [0.0000, 0.0000, 3.1200]], "species": ["Cu", "P", "Ir"], "frac_coords": [[0.0000, 0.0000, 0.0000], [0.3333, 0.6667, 0.5000], [0.6667, 0.3333, 0.5000]], "polymorph_energy_mev_per_atom": 77.1, "formation_enthalpy_0k_mev_per_atom": -92, "m_tot_mub_per_fu": 0.00}

(3)
{"formula": "FeTc2W", "functional": "PBE", "state": "relaxed", "lattice": [[3.8433, 0.0000, 0.0000], [0.0000, 3.8433, 0.0000], [0.0000, 0.0000, 3.8365]], "species": ["Fe", "Tc", "Tc", "W"], "frac_coords": [[0.0000, 0.0000, 0.0000], [0.0000, 0.5000, 0.5000], [0.5000, 0.0000, 0.5000], [0.5000, 0.5000, 0.0000]], "formation_enthalpy_0k_mev_per_atom": 93, "m_tot_mub_per_fu": 1.44}

(4)
{"formula": "CeUPt4", "functional": "PBE", "state": "relaxed", "lattice": [[0.0000, 3.8637, 3.8637], [3.8637, 0.0000, 3.8637], [3.8637, 3.8637, 0.0000]], "species": ["Ce", "U", "Pt", "Pt", "Pt", "Pt"], "frac_coords": [[0.0000, 0.0000, 0.0000], [0.2500, 0.2500, 0.2500], [0.1255, 0.6248, 0.6248], [0.6248, 0.1255, 0.6248], [0.6248, 0.6248, 0.1255], [0.6248, 0.6248, 0.6248]], "formation_enthalpy_0k_mev_per_atom": -824, "m_tot_mub_per_fu": 3.62}

(5)
{"formula": "PuNpTc", "functional": "PBE", "state": "relaxed", "lattice": [[4.4890, 0.0000, 0.0000], [-2.2445, 3.8876, 0.0000], [0.0000, 0.0000, 3.0099]], "species": ["Pu", "Np", "Tc"], "frac_coords": [[0.0000, 0.0000, 0.0000], [0.6667, 0.3333, 0.2039], [0.3333, 0.6667, 0.5945]], "polymorph_energy_mev_per_atom": 0.0, "formation_enthalpy_0k_mev_per_atom": 66, "m_tot_mub_per_fu": 2.12}

(6)
{"formula": "BiSbP2Cl", "functional": "PBE", "state": "relaxed", "lattice": [[5.1597, 0.0000, 0.0000], [0.0000, 5.1597, 0.0000], [0.0000, 0.0000, 4.9717]], "species": ["Bi", "Sb", "P", "P", "Cl"], "frac_coords": [[0.0000, 0.0000, 0.0000], [0.5000, 0.5000, 0.5000], [0.0000, 0.5000, 0.5000], [0.5000, 0.0000, 0.5000], [0.5000, 0.5000, 0.0000]], "polymorph_energy_mev_per_atom": 0.0, "e_form_raw_ev_per_atom": 0.55, "m_tot_mub_per_fu": 0.00}

(7)
{"formula": "Ge2BSb", "functional": "PBE", "state": "relaxed", "lattice": [[6.7289, 0.0000, 0.0000], [0.0000, 6.7289, 0.0000], [0.0000, 0.0000, 6.7289]], "species": ["Ge", "Ge", "Ge", "Ge", "Ge", "Ge", "Ge", "Ge", "B", "B", "B", "B", "Sb", "Sb", "Sb", "Sb"], "frac_coords": [[0.2500, 0.2500, 0.2500], [0.2500, 0.2500, 0.7500], [0.2500, 0.7500, 0.2500], [0.2500, 0.7500, 0.7500], [0.7500, 0.2500, 0.2500], [0.7500, 0.2500, 0.7500], [0.7500, 0.7500, 0.2500], [0.7500, 0.7500, 0.7500], [0.0000, 0.0000, 0.0000], [0.0000, 0.5000, 0.5000], [0.5000, 0.0000, 0.5000], [0.5000, 0.5000, 0.0000], [0.0000, 0.0000, 0.5000], [0.0000, 0.5000, 0.0000], [0.5000, 0.0000, 0.0000], [0.5000, 0.5000, 0.5000]], "polymorph_energy_mev_per_atom": 912.4, "e_form_raw_ev_per_atom": 1.11, "m_tot_mub_per_fu": 0.00}

(8)
{"formula": "PmNiBr", "functional": "PBE", "state": "relaxed", "lattice": [[7.0365, 0.0000, 0.0000], [0.0000, 4.0631, 0.0000], [-0.3137, 0.0000, 11.3955]], "species": ["Pm", "Pm", "Pm", "Pm", "Ni", "Ni", "Ni", "Ni", "Br", "Br", "Br", "Br"], "frac_coords": [[0.0075, 0.0000, 0.1655], [0.4925, 0.5000, 0.8345], [0.5075, 0.5000, 0.1655], [0.9925, 0.0000, 0.8345], [0.1660, 0.5000, 0.9857], [0.3340, 0.0000, 0.0143], [0.6660, 0.0000, 0.9857], [0.8340, 0.5000, 0.0143], [0.1817, 0.5000, 0.3356], [0.3183, 0.0000, 0.6644], [0.6817, 0.0000, 0.3356], [0.8183, 0.5000, 0.6644]], "e_form_raw_ev_per_atom": -1.07, "m_tot_mub_per_fu": 0.00}

(9)
{"formula": "BaLaCl2", "functional": "PBE", "state": "relaxed", "lattice": [[3.8607, 0.0000, 0.0000], [0.0000, 4.0000, 0.0000], [0.0000, 0.0000, 7.9266]], "species": ["Ba", "La", "Cl", "Cl"], "frac_coords": [[0.0000, 0.0000, 0.0000], [0.0000, 0.5000, 0.5000], [0.5000, 0.5000, 0.2084], [0.5000, 0.5000, 0.7916]], "polymorph_energy_mev_per_atom": 63.5, "e_form_raw_ev_per_atom": -1.53, "m_tot_mub_per_fu": 0.24}

(10)
{"formula": "Ho3Tm2Sc", "functional": "PBE", "state": "relaxed", "lattice": [[6.5899, 0.0000, 0.0000], [-1.8076, 6.7250, 0.0000], [-1.1065, -2.1008, 8.0765]], "species": ["Ho", "Ho", "Ho", "Ho", "Ho", "Ho", "Tm", "Tm", "Tm", "Tm", "Sc", "Sc"], "frac_coords": [[0.0804, 0.4792, 0.3304], [0.0955, 0.9808, 0.3372], [0.2505, 0.1945, 0.0207], [0.7495, 0.8055, 0.9793], [0.9045, 0.0192, 0.6628], [0.9196, 0.5208, 0.6696], [0.3824, 0.8896, 0.6770], [0.3899, 0.3882, 0.6725], [0.6101, 0.6118, 0.3275], [0.6176, 0.1104, 0.3230], [0.2368, 0.6876, 0.0231], [0.7632, 0.3124, 0.9769]], "polymorph_energy_mev_per_atom": 0.0, "formation_enthalpy_0k_mev_per_atom": 49, "m_tot_mub_per_fu": 0.08}

(11)
{"formula": "Pa4PdPbN8", "functional": "PBE", "state": "relaxed", "lattice": [[3.6363, 2.0994, 4.9247], [-3.6363, 2.0994, 4.9247], [0.0000, -4.1989, 4.9247]], "species": ["Pa", "Pa", "Pa", "Pa", "Pd", "Pb", "N", "N", "N", "N", "N", "N", "N", "N"], "frac_coords": [[0.0000, 0.0000, 0.0000], [0.3973, 0.3973, 0.8926], [0.3973, 0.8926, 0.3973], [0.8926, 0.3973, 0.3973], [0.3980, 0.3980, 0.3980], [0.7860, 0.7860, 0.7860], [0.1441, 0.1441, 0.6220], [0.1441, 0.6220, 0.1441], [0.1499, 0.1499, 0.1499], [0.2038, 0.6337, 0.6337], [0.6220, 0.1441, 0.1441], [0.6337, 0.2038, 0.6337], [0.6337, 0.6337, 0.2038], [0.6355, 0.6355, 0.6355]], "e_form_raw_ev_per_atom": -0.95, "m_tot_mub_per_fu": 0.00}

(12)
{"formula": "CaZn2CoGe", "functional": "PBE", "state": "relaxed", "lattice": [[5.3945, 0.0000, 0.0000], [0.0000, 5.3945, 0.0000], [0.0000, 0.0000, 5.4959]], "species": ["Ca", "Zn", "Zn", "Co", "Ge"], "frac_coords": [[0.0000, 0.0000, 0.0000], [0.0000, 0.5000, 0.0000], [0.5000, 0.0000, 0.0000], [0.5000, 0.5000, 0.5000], [0.0000, 0.0000, 0.5000]], "polymorph_energy_mev_per_atom": 1632.0, "formation_enthalpy_0k_mev_per_atom": 1431, "m_tot_mub_per_fu": 2.56}

(13)
{"formula": "FePAu2", "functional": "PBE", "state": "relaxed", "lattice": [[3.9123, 0.0000, 0.0000], [0.0000, 3.9123, 0.0000], [0.0000, 0.0000, 8.4760]], "species": ["Fe", "Fe", "P", "P", "Au", "Au", "Au", "Au"], "frac_coords": [[0.0000, 0.0000, 0.0000], [0.5000, 0.5000, 0.5000], [0.0000, 0.0000, 0.5000], [0.5000, 0.5000, 0.0000], [0.0000, 0.5000, 0.2500], [0.0000, 0.5000, 0.7500], [0.5000, 0.0000, 0.2500], [0.5000, 0.0000, 0.7500]], "formation_enthalpy_0k_mev_per_atom": 377, "m_tot_mub_per_fu": 3.14}

(14)
{"formula": "Pr3Nd2ErSe6", "functional": "PBE", "state": "relaxed", "lattice": [[9.1953, -2.0951, 0.0000], [9.1953, 2.0951, 0.0000], [-1.9868, 0.0000, 8.2662]], "species": ["Pr", "Pr", "Pr", "Nd", "Nd", "Er", "Se", "Se", "Se", "Se", "Se", "Se"], "frac_coords": [[0.0000, 0.0000, 0.0000], [0.3289, 0.3289, 0.6659], [0.6711, 0.6711, 0.3341], [0.3313, 0.3313, 0.1637], [0.6687, 0.6687, 0.8363], [0.0000, 0.0000, 0.5000], [0.1594, 0.1594, 0.5817], [0.1662, 0.1662, 0.0815], [0.4993, 0.4993, 0.7349], [0.5007, 0.5007, 0.2651], [0.8338, 0.8338, 0.9185], [0.8406, 0.8406, 0.4183]], "e_form_raw_ev_per_atom": -1.82, "m_tot_mub_per_fu": 0.00}

(15)
{"formula": "VSi2Tc", "functional": "PBE", "state": "relaxed", "lattice": [[2.8023, 0.0000, 0.0000], [-1.4011, 2.4268, 0.0000], [0.0000, 0.0000, 26.4570]], "species": ["V", "V", "V", "Si", "Si", "Si", "Si", "Si", "Si", "Tc", "Tc", "Tc"], "frac_coords": [[0.0000, 0.0000, 0.0000], [0.3333, 0.6667, 0.6667], [0.6667, 0.3333, 0.3333], [0.0000, 0.0000, 0.0936], [0.0000, 0.0000, 0.9064], [0.3333, 0.6667, 0.5730], [0.3333, 0.6667, 0.7603], [0.6667, 0.3333, 0.2397], [0.6667, 0.3333, 0.4270], [0.0000, 0.0000, 0.5000], [0.3333, 0.6667, 0.1667], [0.6667, 0.3333, 0.8333]], "polymorph_energy_mev_per_atom": 480.9, "e_form_raw_ev_per_atom": 0.17, "m_tot_mub_per_fu": 0.00}

(16)
{"formula": "Mn2TeCl", "functional": "PBE", "state": "relaxed", "lattice": [[3.5674, 0.0000, 0.0000], [0.0000, 3.8552, 0.0000], [0.0000, 0.0000, 6.5591]], "species": ["Mn", "Mn", "Te", "Cl"], "frac_coords": [[0.0000, 0.0000, 0.2028], [0.0000, 0.0000, 0.7972], [0.5000, 0.5000, 0.0000], [0.5000, 0.0000, 0.5000]], "polymorph_energy_mev_per_atom": 63.3, "e_form_raw_ev_per_atom": -0.09, "m_tot_mub_per_fu": 8.63}

(17)
{"formula": "Ta3MnPd", "functional": "PBE", "state": "relaxed", "lattice": [[4.7731, 0.0000, 0.0000], [0.0000, 4.7731, 0.0000], [0.0000, 0.0000, 4.7731]], "species": ["Ta", "Ta", "Ta", "Mn", "Pd"], "frac_coords": [[0.0000, 0.0000, 0.5000], [0.0000, 0.5000, 0.0000], [0.5000, 0.0000, 0.0000], [0.5000, 0.5000, 0.5000], [0.0000, 0.0000, 0.0000]], "polymorph_energy_mev_per_atom": 1159.5, "formation_enthalpy_0k_mev_per_atom": 1895, "m_tot_mub_per_fu": 0.06}

(18)
{"formula": "AlSi3W", "functional": "PBE", "state": "relaxed", "lattice": [[4.5557, 0.0000, 0.0000], [0.0000, 4.5557, 0.0000], [0.0000, 0.0000, 4.5557]], "species": ["Al", "Si", "Si", "Si", "W"], "frac_coords": [[0.0000, 0.0000, 0.0000], [0.0000, 0.0000, 0.5000], [0.0000, 0.5000, 0.0000], [0.5000, 0.0000, 0.0000], [0.5000, 0.5000, 0.5000]], "polymorph_energy_mev_per_atom": 1032.4, "e_form_raw_ev_per_atom": 1.70, "m_tot_mub_per_fu": 0.00}

(19)
{"formula": "Ge4H", "functional": "PBE", "state": "relaxed", "lattice": [[4.3368, 0.0000, 0.0000], [0.0000, 4.3368, 0.0000], [0.0000, 0.0000, 4.3368]], "species": ["Ge", "Ge", "Ge", "Ge", "H"], "frac_coords": [[0.0000, 0.0000, 0.0000], [0.0000, 0.5000, 0.5000], [0.5000, 0.0000, 0.5000], [0.5000, 0.5000, 0.0000], [0.5000, 0.5000, 0.5000]], "final_energy_ev_per_atom": -3.889, "m_tot_mub_per_fu": 0.00}

(20)
{"formula": "LiBeBRh", "functional": "PBE", "state": "relaxed", "lattice": [[5.3352, 0.0000, 0.0000], [0.0000, 5.3352, 0.0000], [0.0000, 0.0000, 5.3352]], "species": ["Li", "Li", "Li", "Li", "Be", "Be", "Be", "Be", "B", "B", "B", "B", "Rh", "Rh", "Rh", "Rh"], "frac_coords": [[0.0000, 0.0000, 0.0000], [0.0000, 0.5000, 0.5000], [0.5000, 0.0000, 0.5000], [0.5000, 0.5000, 0.0000], [0.2500, 0.2500, 0.2500], [0.2500, 0.7500, 0.7500], [0.7500, 0.2500, 0.7500], [0.7500, 0.7500, 0.2500], [0.2500, 0.2500, 0.7500], [0.2500, 0.7500, 0.2500], [0.7500, 0.2500, 0.2500], [0.7500, 0.7500, 0.7500], [0.0000, 0.0000, 0.5000], [0.0000, 0.5000, 0.0000], [0.5000, 0.0000, 0.0000], [0.5000, 0.5000, 0.5000]], "formation_enthalpy_0k_mev_per_atom": -126, "m_tot_mub_per_fu": 0.00}

(21)
{"formula": "ScAg2Mo", "functional": "PBE", "state": "relaxed", "lattice": [[2.9780, 0.0000, 0.0000], [-1.4890, 2.5790, 0.0000], [0.0000, 0.0000, 28.6925]], "species": ["Sc", "Sc", "Sc", "Ag", "Ag", "Ag", "Ag", "Ag", "Ag", "Mo", "Mo", "Mo"], "frac_coords": [[0.0000, 0.0000, 0.0000], [0.3333, 0.6667, 0.6667], [0.6667, 0.3333, 0.3333], [0.0000, 0.0000, 0.2477], [0.0000, 0.0000, 0.4968], [0.3333, 0.6667, 0.1635], [0.3333, 0.6667, 0.9144], [0.6667, 0.3333, 0.5811], [0.6667, 0.3333, 0.8301], [0.0000, 0.0000, 0.7474], [0.3333, 0.6667, 0.4140], [0.6667, 0.3333, 0.0807]], "polymorph_energy_mev_per_atom": 128.0, "formation_enthalpy_0k_mev_per_atom": 272, "m_tot_mub_per_fu": 0.00}

(22)
{"formula": "MnFe2Co", "functional": "PBE", "state": "relaxed", "lattice": [[2.4790, 0.0000, 0.0000], [-1.2395, 2.1469, 0.0000], [0.0000, 0.0000, 24.5001]], "species": ["Mn", "Mn", "Mn", "Fe", "Fe", "Fe", "Fe", "Fe", "Fe", "Co", "Co", "Co"], "frac_coords": [[0.0000, 0.0000, 0.0000], [0.3333, 0.6667, 0.6667], [0.6667, 0.3333, 0.3333], [0.0000, 0.0000, 0.2505], [0.0000, 0.0000, 0.7495], [0.3333, 0.6667, 0.4162], [0.3333, 0.6667, 0.9172], [0.6667, 0.3333, 0.0828], [0.6667, 0.3333, 0.5838], [0.0000, 0.0000, 0.5000], [0.3333, 0.6667, 0.1667], [0.6667, 0.3333, 0.8333]], "formation_enthalpy_0k_mev_per_atom": 76, "m_tot_mub_per_fu": 3.62}

(23)
{"formula": "PmHo5Ag6", "functional": "PBE", "state": "relaxed", "lattice": [[5.1666, 0.0000, 0.0000], [0.0000, 7.2192, 0.0000], [-2.5632, 0.0000, 7.7580]], "species": ["Pm", "Ho", "Ho", "Ho", "Ho", "Ho", "Ag", "Ag", "Ag", "Ag", "Ag", "Ag"], "frac_coords": [[0.0000, 0.0000, 0.0000], [0.0000, 0.5000, 0.0000], [0.3323, 0.0000, 0.6646], [0.3343, 0.5000, 0.6686], [0.6657, 0.5000, 0.3314], [0.6677, 0.0000, 0.3354], [0.1698, 0.2542, 0.3393], [0.1698, 0.7458, 0.3393], [0.5000, 0.2578, 0.0000], [0.5000, 0.7422, 0.0000], [0.8302, 0.2542, 0.6607], [0.8302, 0.7458, 0.6607]], "formation_enthalpy_0k_mev_per_atom": -318, "m_tot_mub_per_fu": 0.00}

(24)
{"formula": "ZrNi9Sn2", "functional": "PBE", "state": "relaxed", "lattice": [[3.7521, 0.0000, 0.0000], [0.0000, 3.7521, 0.0000], [0.0000, 0.0000, 11.1507]], "species": ["Zr", "Ni", "Ni", "Ni", "Ni", "Ni", "Ni", "Ni", "Ni", "Ni", "Sn", "Sn"], "frac_coords": [[0.0000, 0.0000, 0.0000], [0.0000, 0.5000, 0.1676], [0.0000, 0.5000, 0.5000], [0.0000, 0.5000, 0.8324], [0.5000, 0.0000, 0.1676], [0.5000, 0.0000, 0.5000], [0.5000, 0.0000, 0.8324], [0.5000, 0.5000, 0.0000], [0.5000, 0.5000, 0.3352], [0.5000, 0.5000, 0.6648], [0.0000, 0.0000, 0.3337], [0.0000, 0.0000, 0.6663]], "polymorph_energy_mev_per_atom": 0.0, "formation_enthalpy_0k_mev_per_atom": -274, "m_tot_mub_per_fu": 0.00}

(25)
{"formula": "Cr2ReP", "functional": "PBE", "state": "relaxed", "lattice": [[3.0101, 0.0000, 0.0000], [0.0000, 4.5153, 0.0000], [0.0000, 0.0000, 7.5608]], "species": ["Cr", "Cr", "Cr", "Cr", "Re", "Re", "P", "P"], "frac_coords": [[0.0000, 0.0000, 0.0000], [0.0000, 0.5000, 0.2482], [0.5000, 0.0000, 0.2482], [0.5000, 0.5000, 0.0000], [0.0000, 0.0000, 0.5216], [0.5000, 0.5000, 0.5216], [0.0000, 0.5000, 0.7749], [0.5000, 0.0000, 0.7749]], "formation_enthalpy_0k_mev_per_atom": 244, "m_tot_mub_per_fu": 0.00}

(26)
{"formula": "Cd2PW", "functional": "PBE", "state": "relaxed", "lattice": [[2.8471, 0.0000, 0.0000], [0.0000, 3.9288, 0.0000], [0.0000, 0.0000, 14.4451]], "species": ["Cd", "Cd", "Cd", "Cd", "P", "P", "W", "W"], "frac_coords": [[0.0000, 0.0000, 0.1834], [0.0000, 0.0000, 0.8166], [0.5000, 0.5000, 0.3166], [0.5000, 0.5000, 0.6834], [0.0000, 0.5000, 0.0000], [0.5000, 0.0000, 0.5000], [0.0000, 0.5000, 0.5000], [0.5000, 0.0000, 0.0000]], "polymorph_energy_mev_per_atom": 76.0, "formation_enthalpy_0k_mev_per_atom": 196, "m_tot_mub_per_fu": 0.00}

(27)
{"formula": "La2Zn3In2", "functional": "PBE", "state": "relaxed", "lattice": [[11.4395, 0.0000, 0.0000], [0.0000, 4.6604, 0.0000], [-2.8137, 0.0000, 6.3547]], "species": ["La", "La", "La", "La", "Zn", "Zn", "Zn", "Zn", "Zn", "Zn", "In", "In", "In", "In"], "frac_coords": [[0.1500, 0.0000, 0.2656], [0.3500, 0.5000, 0.7344], [0.6500, 0.5000, 0.2656], [0.8500, 0.0000, 0.7344], [0.0000, 0.5000, 0.5000], [0.0785, 0.5000, 0.9107], [0.4215, 0.0000, 0.0893], [0.5000, 0.0000, 0.5000], [0.5785, 0.0000, 0.9107], [0.9215, 0.5000, 0.0893], [0.1532, 0.0000, 0.7660], [0.3468, 0.5000, 0.2340], [0.6532, 0.5000, 0.7660], [0.8468, 0.0000, 0.2340]], "formation_enthalpy_0k_mev_per_atom": -400, "m_tot_mub_per_fu": 0.00}